Compound: CdAgGe2Se6
Source: Alexandria via LeMat-Bulk
Functional: GGA-PBE
Structure: optimized geometry

Lattice parameters (Å, degrees): 9.522 9.522 6.790 107.14 107.14 91.51
Element x y z (fractional)
Cd 0.197 0.803 0.750
Cd 0.803 0.197 0.250
Ag 0.265 0.735 0.250
Ag 0.735 0.265 0.750
Ge 0.209 0.359 0.717
Ge 0.359 0.209 0.217
Ge 0.641 0.791 0.783
Ge 0.791 0.641 0.283
Se 0.007 0.170 0.614
Se 0.108 0.580 0.866
Se 0.170 0.007 0.114
Se 0.305 0.426 0.460
Se 0.420 0.892 0.634
Se 0.426 0.305 0.960
Se 0.574 0.695 0.040
Se 0.580 0.108 0.366
Se 0.695 0.574 0.540
Se 0.830 0.993 0.886
Se 0.892 0.420 0.134
Se 0.993 0.830 0.386

Its energy relative to the elements, uncorrected is -204 meV/atom. The calculation puts the mass density at 5.0 g cm⁻³. The total moment comes out at 0.00 μB per formula unit.